# 1
First-principles (PBE) data for crystalline Sr2Ge2Bi at its relaxed geometry, as listed in Alexandria.

The crystal system is tetragonal. The polymorph energy (0 for the lowest one) comes out at 478 meV per atom. The calculation puts the total energy at -3.43 eV/atom. The value obtained for the total magnetization is 0.00 μB per cell. As for the formation enthalpy at 0 K: -0.1333 eV per atom.

The space group is I4/mmm (No. 139) and the conventional cell measures 5.573, 5.573 and 10.920 Å, with angles of 90.00, 90.00 and 90.00 degrees. Symmetry generates all atoms from Sr at (0.000, 0.500, 0.250), Ge at (0.000, 0.000, 0.105) and Bi at (0.000, 0.000, 0.500).


# 2
First-principles (PBE) data for crystalline Sr2GeBi at its relaxed geometry, as listed in Alexandria.

The crystal system is tetragonal. The polymorph energy (0 for the lowest one) comes out at 23 meV per atom. The calculation puts the total energy at -3.53 eV/atom. The value obtained for the total magnetization is 0.00 μB per cell. As for the formation enthalpy at 0 K: -0.5669 eV per atom.

The space group is P4/mmm (No. 123) and the conventional cell measures 5.294, 5.294 and 4.543 Å, with angles of 90.00, 90.00 and 90.00 degrees. Symmetry generates all atoms from Sr at (0.000, 0.500, 0.000), Ge at (0.000, 0.000, 0.500) and Bi at (0.500, 0.500, 0.500).


# 3
First-principles (PBE) data for crystalline Sr4GeBi at its relaxed geometry, as listed in Alexandria.

The crystal system is monoclinic. The calculation puts the total energy at -3.13 eV/atom. The value obtained for the total magnetization is 0.90 μB per cell. As for the formation enthalpy at 0 K: -0.5959 eV per atom.

The space group is C2/c (No. 15) and the conventional cell measures 10.314, 14.788 and 7.362 Å, with angles of 90.00, 122.26 and 90.00 degrees. Symmetry generates all atoms from Sr at (0.116, 0.173, 0.092), Sr at (0.211, 0.437, 0.287), Ge at (0.000, 0.002, 0.750) and Bi at (0.000, 0.364, 0.750).


# 4
First-principles (PBE) data for crystalline Sr2GeBi at its relaxed geometry, as listed in Alexandria.

The crystal system is tetragonal. The polymorph energy (0 for the lowest one) comes out at 0 meV per atom. The calculation puts the total energy at -3.56 eV/atom. The value obtained for the total magnetization is 0.00 μB per cell. As for the formation enthalpy at 0 K: -0.5900 eV per atom.

The space group is P4/mmm (No. 123) and the conventional cell measures 3.707, 3.707 and 9.210 Å, with angles of 90.00, 90.00 and 90.00 degrees. Symmetry generates all atoms from Sr at (0.000, 0.000, 0.223), Ge at (0.500, 0.500, 0.000) and Bi at (0.500, 0.500, 0.500).


# 5
First-principles (PBE) data for crystalline Sr8GeBi5 at its relaxed geometry, as listed in Alexandria.

The crystal system is tetragonal. The calculation puts the total energy at -3.46 eV/atom. The value obtained for the total magnetization is 1.14 μB per cell. As for the formation enthalpy at 0 K: -0.7868 eV per atom.

The space group is I-4 (No. 82) and the conventional cell measures 10.146, 10.146 and 10.161 Å, with angles of 90.00, 90.00 and 90.00 degrees. Symmetry generates all atoms from Sr at (0.070, 0.182, 0.300), Sr at (0.074, 0.323, 0.947), Ge at (0.000, 0.500, 0.250), Bi at (0.000, 0.000, 0.000) and Bi at (0.126, 0.250, 0.623).


# 6
First-principles (PBE) data for crystalline Sr2GeBiTe5 at its relaxed geometry, as listed in Alexandria.

The crystal system is orthorhombic. Its raw formation energy is -716 kJ/mol of formula units. The calculation puts the total energy at -3.89 eV/atom. The value obtained for the total magnetization is 0.00 μB per cell.

The space group is Cmc2_1 (No. 36) and the conventional cell measures 4.665, 20.195 and 13.333 Å, with angles of 90.00, 90.00 and 90.00 degrees. Symmetry generates all atoms from Sr at (0.000, 0.112, 0.000), Sr at (0.000, 0.120, 0.633), Ge at (0.000, 0.439, 0.764), Bi at (0.000, 0.212, 0.347), Te at (0.000, 0.046, 0.369), Te at (0.000, 0.281, 0.005), Te at (0.000, 0.315, 0.682), Te at (0.000, 0.360, 0.319) and Te at (0.000, 0.499, 0.087).


What is the formula in the third record?
Sr4GeBi


What did the fifth record say?
First-principles (PBE) data for crystalline Sr8GeBi5 at its relaxed geometry, as listed in Alexandria.

The crystal system is tetragonal. The calculation puts the total energy at -3.46 eV/atom. The value obtained for the total magnetization is 1.14 μB per cell. As for the formation enthalpy at 0 K: -0.7868 eV per atom.

The space group is I-4 (No. 82) and the conventional cell measures 10.146, 10.146 and 10.161 Å, with angles of 90.00, 90.00 and 90.00 degrees. Symmetry generates all atoms from Sr at (0.070, 0.182, 0.300), Sr at (0.074, 0.323, 0.947), Ge at (0.000, 0.500, 0.250), Bi at (0.000, 0.000, 0.000) and Bi at (0.126, 0.250, 0.623).


Please write out number 3 again, unchanged.
First-principles (PBE) data for crystalline Sr4GeBi at its relaxed geometry, as listed in Alexandria.

The crystal system is monoclinic. The calculation puts the total energy at -3.13 eV/atom. The value obtained for the total magnetization is 0.90 μB per cell. As for the formation enthalpy at 0 K: -0.5959 eV per atom.

The space group is C2/c (No. 15) and the conventional cell measures 10.314, 14.788 and 7.362 Å, with angles of 90.00, 122.26 and 90.00 degrees. Symmetry generates all atoms from Sr at (0.116, 0.173, 0.092), Sr at (0.211, 0.437, 0.287), Ge at (0.000, 0.002, 0.750) and Bi at (0.000, 0.364, 0.750).